Compound: Li2Sn2Ge
Source: the Alexandria database
Functional: GGA-PBE
Structure: relaxed

Results
Offset from the most stable computed form, eV per formula unit: 0.000
Formation energy from the elements, eV per atom: -0.126
Uncorrected energy, eV/atom: -3.42
Crystal system: tetragonal
Space-group type: P4/mbm (127)

abc: 6.8461 6.8461 4.3347
angles: 90.00 90.00 90.00
Closest atoms and distances in Å follow each position.
Element x y z (fractional)
Li  0.1410  0.3590  0.0000  2 Ge 2.64, 1 Li 2.73, 2 Sn 2.84
Li  0.3590  0.8590  0.0000  2 Ge 2.64, 1 Li 2.73, 2 Sn 2.84
Li  0.6410  0.1410  0.0000  2 Ge 2.64, 1 Li 2.73, 2 Sn 2.84
Li  0.8590  0.6410  0.0000  2 Ge 2.64, 1 Li 2.73, 2 Sn 2.84
Sn  0.1687  0.6687  0.5000  6 Li 2.84-3.04
Sn  0.3313  0.1687  0.5000  6 Li 2.84-3.04
Sn  0.6687  0.8313  0.5000  6 Li 2.84-3.04
Sn  0.8313  0.3313  0.5000  6 Li 2.84-3.04
Ge  0.0000  0.0000  0.0000  4 Li 2.64
Ge  0.5000  0.5000  0.0000  4 Li 2.64

=====

Compound: NiAgAsBr2
Source: the Alexandria database
Functional: GGA-PBE
Structure: relaxed

Results
Offset from the most stable computed form, eV per formula unit: 3.314
Energy relative to the elements, uncorrected, eV/f.u.: 4.68
Uncorrected energy, eV/atom: -2.39
Crystal system: tetragonal
Space-group type: P4/mmm (123)

abc: 5.3265 5.3265 5.0870
angles: 90.00 90.00 90.00
Closest atoms and distances in Å follow each position.
Element x y z (fractional)
Ni  0.0000  0.0000  0.0000  8 Br 3.68, 4 As 3.77
Ag  0.5000  0.5000  0.5000  2 As 2.54, 4 Br 2.66
As  0.5000  0.5000  0.0000  2 Ag 2.54
Br  0.0000  0.5000  0.5000  2 Ag 2.66
Br  0.5000  0.0000  0.5000  2 Ag 2.66

=====

- What is the formula in the first record?
  Li2Sn2Ge

=====

- Which formula does entry 2 have?
  NiAgAsBr2